Compound: TaAsSe2N
Source: the Alexandria database
Functional: SCAN
Structure: PBEsol geometry

Cell and atoms, written as extended XYZ:
```
5
Lattice="4.2142 0.0000 0.0000 0.0000 4.2142 0.0000 0.0000 0.0000 4.3319" Properties=species:S:1:pos:R:3 pbc="T T T"
Ta 0.0000 0.0000 0.0000
As 2.1071 2.1071 0.0000
Se 0.0000 2.1071 2.1660
Se 2.1071 0.0000 2.1660
N 2.1071 2.1071 2.1660
```

Summary:
spin magnetization = 0.1995 μB/atom
uncorrected formation energy = 0.908 eV/atom